This record from the Alexandria database describes a relaxed HgRhO3 crystal. The functional is PBE-GGA.

Properties
As for the uncorrected formation energy: -152 meV per atom. As for the size of the total moment: 1.35 μB/f.u. As for the crystal system: cubic. The symmetry is Pm-3m.

Unit cell a=3.928 b=3.928 c=3.928 alpha=90.00 beta=90.00 gamma=90.00
Element x y z (fractional)
Hg1 0.000 0.000 0.000
Rh1 0.500 0.500 0.500
O1 0.000 0.500 0.500
O2 0.500 0.000 0.500
O3 0.500 0.500 0.000

=====

This record from the Alexandria database describes a relaxed Hg3RhO crystal. The functional is PBE-GGA.

Properties
As for the uncorrected formation energy: 764 meV per atom. The value obtained for the energy relative to the lowest polymorph listed for this composition is 0.196 eV/atom. As for the size of the total moment: 0.00 μB/f.u. As for the crystal system: cubic. The symmetry is Pm-3m.

Unit cell a=5.216 b=5.216 c=5.216 alpha=90.00 beta=90.00 gamma=90.00
Element x y z (fractional)
Hg1 0.000 0.000 0.500
Hg2 0.000 0.500 0.000
Hg3 0.500 0.000 0.000
Rh1 0.000 0.000 0.000
O1 0.500 0.500 0.500

=====

This record from the Alexandria database describes a relaxed Hg2RhO crystal. The functional is PBE-GGA.

Properties
As for the uncorrected formation energy: 291 meV per atom. As for the size of the total moment: 0.00 μB/f.u. As for the crystal system: tetragonal. The symmetry is I-42d.

Unit cell a=5.708 b=5.708 c=5.708 alpha=102.80 beta=102.80 gamma=123.85
Element x y z (fractional)
Hg1 0.077 0.125 0.452
Hg2 0.375 0.923 0.048
Hg3 0.673 0.625 0.548
Hg4 0.875 0.327 0.952
Rh1 0.250 0.750 0.500
Rh2 0.500 0.500 0.000
O1 0.000 0.000 0.000
O2 0.750 0.250 0.500

=====

This record from the Alexandria database describes a relaxed HgRh3O crystal. The functional is PBE-GGA.

Properties
As for the uncorrected formation energy: 2204 meV per atom. The value obtained for the energy relative to the lowest polymorph listed for this composition is 2.046 eV/atom. As for the size of the total moment: 5.12 μB/f.u. As for the crystal system: cubic. The symmetry is Pm-3m.

Unit cell a=5.046 b=5.046 c=5.046 alpha=90.00 beta=90.00 gamma=90.00
Element x y z (fractional)
Hg1 0.000 0.000 0.000
Rh1 0.000 0.000 0.500
Rh2 0.000 0.500 0.000
Rh3 0.500 0.000 0.000
O1 0.500 0.500 0.500

=====

This record from the Alexandria database describes a relaxed HgRhSe2O8 crystal. The functional is PBE-GGA.

Properties
As for the uncorrected formation energy: -478 meV per atom. As for the size of the total moment: 0.00 μB/f.u. As for the crystal system: monoclinic. The symmetry is C2/m.

Unit cell a=5.122 b=5.122 c=7.346 alpha=91.42 beta=91.42 gamma=66.52
Element x y z (fractional)
Hg1 0.000 0.000 0.000
Rh1 0.000 0.000 0.500
Se1 0.360 0.360 0.712
Se2 0.640 0.640 0.288
O1 0.227 0.735 0.708
O2 0.240 0.240 0.523
O3 0.265 0.773 0.292
O4 0.280 0.280 0.915
O5 0.720 0.720 0.085
O6 0.735 0.227 0.708
O7 0.760 0.760 0.477
O8 0.773 0.265 0.292

=====

This record from the Alexandria database describes a relaxed Sr2HgRh3O8 crystal. The functional is PBE-GGA.

Properties
As for the uncorrected formation energy: -1249 meV per atom. As for the size of the total moment: 0.00 μB/f.u. As for the crystal system: trigonal. The symmetry is R3m.

Unit cell a=6.827 b=6.827 c=6.827 alpha=56.90 beta=56.90 gamma=56.90
Element x y z (fractional)
Sr1 0.000 0.000 0.000
Sr2 0.367 0.367 0.367
Hg1 0.791 0.791 0.791
Rh1 0.373 0.373 0.872
Rh2 0.373 0.872 0.373
Rh3 0.872 0.373 0.373
O1 0.113 0.113 0.566
O2 0.113 0.566 0.113
O3 0.146 0.146 0.146
O4 0.192 0.617 0.617
O5 0.566 0.113 0.113
O6 0.598 0.598 0.598
O7 0.617 0.192 0.617
O8 0.617 0.617 0.192

=====

This record from the Alexandria database describes a relaxed TlHgRhO2 crystal. The functional is PBE-GGA.

Properties
As for the uncorrected formation energy: 779 meV per atom. As for the size of the total moment: 1.16 μB/f.u. As for the crystal system: tetragonal. The symmetry is P4/mmm.

Unit cell a=4.067 b=4.067 c=6.351 alpha=90.00 beta=90.00 gamma=90.00
Element x y z (fractional)
Tl1 0.000 0.000 0.000
Hg1 0.000 0.000 0.500
Rh1 0.500 0.500 0.000
O1 0.000 0.500 0.500
O2 0.500 0.000 0.500

=====

This record from the Alexandria database describes a relaxed Tl2Hg2RhO6 crystal. The functional is PBE-GGA.

Properties
As for the uncorrected formation energy: -541 meV per atom. As for the size of the total moment: 0.00 μB/f.u. As for the crystal system: monoclinic. The symmetry is C2/m.

Unit cell a=5.978 b=5.978 c=6.133 alpha=91.49 beta=91.49 gamma=119.80
Element x y z (fractional)
Tl1 0.160 0.840 0.000
Tl2 0.840 0.160 0.000
Hg1 0.354 0.646 0.500
Hg2 0.646 0.354 0.500
Rh1 0.500 0.500 0.000
O1 0.219 0.511 0.814
O2 0.221 0.221 0.172
O3 0.489 0.781 0.186
O4 0.511 0.219 0.814
O5 0.779 0.779 0.828
O6 0.781 0.489 0.186

=====

This record from the Alexandria database describes a relaxed UHgRhO6 crystal. The functional is PBE-GGA.

Properties
As for the uncorrected formation energy: -1603 meV per atom. As for the size of the total moment: 0.01 μB/f.u. As for the crystal system: trigonal. The symmetry is P-31c.

Unit cell a=5.395 b=5.395 c=10.040 alpha=90.00 beta=90.00 gamma=120.00
Element x y z (fractional)
U1 0.333 0.667 0.250
U2 0.667 0.333 0.750
Hg1 0.000 0.000 0.000
Hg2 0.000 0.000 0.500
Rh1 0.333 0.667 0.750
Rh2 0.667 0.333 0.250
O1 0.009 0.362 0.640
O2 0.009 0.647 0.860
O3 0.353 0.362 0.860
O4 0.353 0.991 0.640
O5 0.362 0.009 0.140
O6 0.362 0.353 0.360
O7 0.638 0.647 0.640
O8 0.638 0.991 0.860
O9 0.647 0.009 0.360
O10 0.647 0.638 0.140
O11 0.991 0.353 0.140
O12 0.991 0.638 0.360

=====

This record from the Alexandria database describes a relaxed HgRu3O crystal. The functional is PBE-GGA.

Properties
As for the uncorrected formation energy: 2774 meV per atom. The value obtained for the energy relative to the lowest polymorph listed for this composition is 2.372 eV/atom. As for the size of the total moment: 8.44 μB/f.u. As for the crystal system: cubic. The symmetry is Pm-3m.

Unit cell a=5.044 b=5.044 c=5.044 alpha=90.00 beta=90.00 gamma=90.00
Element x y z (fractional)
Hg1 0.000 0.000 0.000
Ru1 0.000 0.000 0.500
Ru2 0.000 0.500 0.000
Ru3 0.500 0.000 0.000
O1 0.500 0.500 0.500

=====

This record from the Alexandria database describes a relaxed HgRuO4 crystal. The functional is PBE-GGA.

Properties
As for the uncorrected formation energy: -511 meV per atom. The value obtained for the energy relative to the lowest polymorph listed for this composition is 0.009 eV/atom. As for the size of the total moment: 0.00 μB/f.u. As for the crystal system: orthorhombic. The symmetry is Pnc2.

Unit cell a=5.715 b=4.729 c=5.778 alpha=90.00 beta=90.00 gamma=90.00
Element x y z (fractional)
Hg1 0.000 0.000 0.000
Hg2 0.000 0.500 0.500
Ru1 0.500 0.000 0.361
Ru2 0.500 0.500 0.861
O1 0.223 0.193 0.301
O2 0.223 0.307 0.801
O3 0.374 0.749 0.577
O4 0.374 0.751 0.077
O5 0.626 0.249 0.077
O6 0.626 0.251 0.577
O7 0.777 0.693 0.801
O8 0.777 0.807 0.301

=====

Number 1: N(E_F) 2.87 states/eV/cell, density 9.63 g/cm³, total energy -4.66 eV/atom. Number 2: N(E_F) 14.92 states/eV/cell, density 8.43 g/cm³, total energy -1.88 eV/atom. Number 3: N(E_F) 5.57 states/eV/cell, density 12.68 g/cm³, total energy -2.94 eV/atom. Number 4: N(E_F) 8.24 states/eV/cell, density 6.79 g/cm³, total energy -3.26 eV/atom. Number 5: N(E_F) 2.72 states/eV/cell, density 5.54 g/cm³, total energy -5.00 eV/atom. Number 6: N(E_F) 6.13 states/eV/cell, density 6.46 g/cm³, total energy -5.92 eV/atom. Number 7: N(E_F) 3.53 states/eV/cell, density 8.53 g/cm³, total energy -3.21 eV/atom. Number 8: N(E_F) 1.82 states/eV/cell, density 8.82 g/cm³, total energy -4.40 eV/atom. Number 9: N(E_F) 14.51 states/eV/cell, density 8.37 g/cm³, total energy -7.01 eV/atom. Number 10: N(E_F) 5.53 states/eV/cell, density 6.72 g/cm³, total energy -3.84 eV/atom. Number 11: N(E_F) 7.20 states/eV/cell, density 7.78 g/cm³, total energy -5.41 eV/atom.